Entry 1:
Density functional theory data (GGA-PBE) for an optimized crystal structure of Zr2AgSn2. Values from VASP.

Summary:
Energy above the lowest structure with this stoichiometry = 0 meV/atom

```
&SYSTEM
  ibrav = 0, nat = 5, ntyp = 3
/
ATOMIC_SPECIES
Zr 91.22 Zr.upf
Ag 107.87 Ag.upf
Sn 118.71 Sn.upf
ATOMIC_POSITIONS crystal
Zr 0.0935 0.0935 0.0000
Zr 0.9065 0.9065 0.0000
Ag 0.5000 0.5000 0.0000
Sn 0.2500 0.7500 0.5000
Sn 0.7500 0.2500 0.5000
CELL_PARAMETERS angstrom
-2.0706 2.0706 6.9951
2.0706 -2.0706 6.9951
2.0706 2.0706 -6.9951
```

Entry 2:
Density functional theory data (GGA-PBE) for an optimized crystal structure of DySbAs. Values from VASP.

Summary:
Energy above the lowest structure with this stoichiometry = 35 meV/atom

```
&SYSTEM
  ibrav = 0, nat = 3, ntyp = 3
/
ATOMIC_SPECIES
Dy 162.50 Dy.upf
Sb 121.76 Sb.upf
As 74.92 As.upf
ATOMIC_POSITIONS crystal
Dy 0.0000 0.0000 0.0000
Sb 0.2500 0.2500 0.2500
As 0.7500 0.7500 0.7500
CELL_PARAMETERS angstrom
0.0000 3.5287 3.5287
3.5287 0.0000 3.5287
3.5287 3.5287 0.0000
```

Entry 3:
Density functional theory data (GGA-PBE) for an optimized crystal structure of SrPaPO. Values from VASP.

Summary:
Energy above the lowest structure with this stoichiometry = 153 meV/atom

```
&SYSTEM
  ibrav = 0, nat = 8, ntyp = 4
/
ATOMIC_SPECIES
Sr 87.62 Sr.upf
Pa 231.04 Pa.upf
P 30.97 P.upf
O 16.00 O.upf
ATOMIC_POSITIONS crystal
Sr 0.2500 0.7500 0.0000
Sr 0.7500 0.2500 0.0000
Pa 0.2500 0.2500 0.3720
Pa 0.7500 0.7500 0.6280
P 0.2500 0.2500 0.7683
P 0.7500 0.7500 0.2317
O 0.2500 0.7500 0.5000
O 0.7500 0.2500 0.5000
CELL_PARAMETERS angstrom
4.2342 0.0000 0.0000
0.0000 4.2342 0.0000
0.0000 0.0000 9.2903
```

Entry 4:
Density functional theory data (GGA-PBE) for an optimized crystal structure of Gd4C2IF. Values from VASP.

Summary:
E = -6.169 eV per atom

```
&SYSTEM
  ibrav = 0, nat = 8, ntyp = 4
/
ATOMIC_SPECIES
Gd 157.25 Gd.upf
C 12.01 C.upf
I 126.90 I.upf
F 19.00 F.upf
ATOMIC_POSITIONS crystal
Gd 0.0000 0.0000 0.1297
Gd 0.0000 0.0000 0.8703
Gd 0.6667 0.3333 0.3204
Gd 0.6667 0.3333 0.6796
C 0.3333 0.6667 0.2220
C 0.3333 0.6667 0.7780
I 0.0000 0.0000 0.5000
F 0.6667 0.3333 0.0000
CELL_PARAMETERS angstrom
3.6720 0.0000 0.0000
-1.8360 3.1800 0.0000
0.0000 0.0000 13.7004
```